# 1
Computed, not measured: an optimized crystal structure of Mn2AgPt at the PBE level of DFT.

Values from the calculation:
Its total energy is -6.73 eV per atom. The calculated formation energy is 0.075 eV/atom.

Unit cell a=2.768 b=2.768 c=26.881 alpha=90.00 beta=90.00 gamma=120.00
Atoms (fractional coordinates):
Mn (0.000, 0.000, 0.000)
Mn (0.000, 0.000, 0.261)
Mn (0.333, 0.667, 0.667)
Mn (0.333, 0.667, 0.927)
Mn (0.667, 0.333, 0.333)
Mn (0.667, 0.333, 0.594)
Ag (0.000, 0.000, 0.507)
Ag (0.333, 0.667, 0.174)
Ag (0.667, 0.333, 0.840)
Pt (0.000, 0.000, 0.747)
Pt (0.333, 0.667, 0.414)
Pt (0.667, 0.333, 0.081)


# 2
Computed, not measured: an optimized crystal structure of MnAgPt2 at the PBE level of DFT.

Values from the calculation:
Its total energy is -6.21 eV per atom. The calculated formation energy is -0.185 eV/atom.

Unit cell a=2.880 b=3.766 c=5.812 alpha=90.00 beta=90.00 gamma=90.00
Atoms (fractional coordinates):
Mn (0.000, 0.000, 0.000)
Ag (0.000, 0.000, 0.500)
Pt (0.500, 0.500, 0.237)
Pt (0.500, 0.500, 0.763)


# 3
Computed, not measured: an optimized crystal structure of MnAgPt2 at the PBE level of DFT.

Values from the calculation:
Its total energy is -6.23 eV per atom. The calculated formation energy is -0.205 eV/atom.

Unit cell a=2.846 b=2.846 c=7.803 alpha=90.00 beta=90.00 gamma=90.00
Atoms (fractional coordinates):
Mn (0.000, 0.000, 0.000)
Ag (0.000, 0.000, 0.500)
Pt (0.500, 0.500, 0.228)
Pt (0.500, 0.500, 0.772)


# 4
Computed, not measured: an optimized crystal structure of MnAgPt2 at the PBE level of DFT.

Values from the calculation:
Its total energy is -6.16 eV per atom. The calculated formation energy is -0.130 eV/atom.

Unit cell a=3.973 b=3.973 c=8.014 alpha=90.00 beta=90.00 gamma=90.00
Atoms (fractional coordinates):
Mn (0.000, 0.000, 0.000)
Mn (0.500, 0.500, 0.500)
Ag (0.000, 0.500, 0.250)
Ag (0.500, 0.000, 0.750)
Pt (0.000, 0.000, 0.500)
Pt (0.000, 0.500, 0.750)
Pt (0.500, 0.000, 0.250)
Pt (0.500, 0.500, 0.000)


# 5
Computed, not measured: an optimized crystal structure of Mn2Ag2Pt at the PBE level of DFT.

Values from the calculation:
The energy above the most stable polymorph in this dataset is 0.241 eV per atom. Its total energy is -5.47 eV per atom. The calculated formation energy is 0.543 eV/atom.

Unit cell a=3.056 b=3.056 c=16.696 alpha=90.00 beta=90.00 gamma=90.00
Atoms (fractional coordinates):
Mn (0.000, 0.500, 0.250)
Mn (0.000, 0.500, 0.750)
Mn (0.500, 0.000, 0.250)
Mn (0.500, 0.000, 0.750)
Ag (0.000, 0.000, 0.111)
Ag (0.000, 0.000, 0.889)
Ag (0.500, 0.500, 0.389)
Ag (0.500, 0.500, 0.611)
Pt (0.000, 0.000, 0.500)
Pt (0.500, 0.500, 0.000)


# 6
Computed, not measured: an optimized crystal structure of Mn2AgPt at the PBE level of DFT.

Values from the calculation:
Its total energy is -6.79 eV per atom. The calculated formation energy is 0.014 eV/atom.

Unit cell a=3.905 b=3.905 c=8.216 alpha=90.00 beta=90.00 gamma=90.00
Atoms (fractional coordinates):
Mn (0.000, 0.000, 0.000)
Mn (0.000, 0.500, 0.250)
Mn (0.500, 0.000, 0.750)
Mn (0.500, 0.500, 0.500)
Ag (0.000, 0.000, 0.500)
Ag (0.500, 0.500, 0.000)
Pt (0.000, 0.500, 0.750)
Pt (0.500, 0.000, 0.250)


# 7
Computed, not measured: an optimized crystal structure of Mn2AgPt at the PBE level of DFT.

Values from the calculation:
Its total energy is -6.74 eV per atom. The calculated formation energy is 0.072 eV/atom.

Unit cell a=2.868 b=4.014 c=5.527 alpha=90.00 beta=90.00 gamma=90.00
Atoms (fractional coordinates):
Mn (0.000, 0.000, 0.000)
Mn (0.500, 0.500, 0.280)
Ag (0.500, 0.500, 0.774)
Pt (0.000, 0.000, 0.477)


# 8
Computed, not measured: an optimized crystal structure of MnAgPt2 at the PBE level of DFT.

Values from the calculation:
Its total energy is -6.15 eV per atom. The calculated formation energy is -0.128 eV/atom.

Unit cell a=5.712 b=7.606 c=2.923 alpha=90.00 beta=90.00 gamma=90.00
Atoms (fractional coordinates):
Mn (0.000, 0.000, 0.000)
Mn (0.500, 0.500, 0.000)
Ag (0.000, 0.500, 0.000)
Ag (0.500, 0.000, 0.000)
Pt (0.250, 0.250, 0.500)
Pt (0.250, 0.750, 0.500)
Pt (0.750, 0.250, 0.500)
Pt (0.750, 0.750, 0.500)


# 9
Computed, not measured: an optimized crystal structure of Mn2AgPt at the PBE level of DFT.

Values from the calculation:
Its total energy is -6.45 eV per atom. The calculated formation energy is 0.362 eV/atom.

Unit cell a=2.666 b=4.096 c=5.387 alpha=90.00 beta=90.00 gamma=90.00
Atoms (fractional coordinates):
Mn (0.000, 0.000, 0.186)
Mn (0.000, 0.000, 0.814)
Ag (0.500, 0.500, 0.500)
Pt (0.500, 0.500, 0.000)


# 10
Computed, not measured: an optimized crystal structure of Mn2AgPt at the PBE level of DFT.

Values from the calculation:
Its total energy is -6.71 eV per atom. The calculated formation energy is 0.100 eV/atom.

Unit cell a=2.861 b=2.861 c=26.732 alpha=90.00 beta=90.00 gamma=120.00
Atoms (fractional coordinates):
Mn (0.000, 0.000, 0.247)
Mn (0.000, 0.000, 0.753)
Mn (0.333, 0.667, 0.420)
Mn (0.333, 0.667, 0.914)
Mn (0.667, 0.333, 0.086)
Mn (0.667, 0.333, 0.580)
Ag (0.000, 0.000, 0.000)
Ag (0.333, 0.667, 0.667)
Ag (0.667, 0.333, 0.333)
Pt (0.000, 0.000, 0.500)
Pt (0.333, 0.667, 0.167)
Pt (0.667, 0.333, 0.833)


# 11
Computed, not measured: an optimized crystal structure of MnAgPt2 at the PBE level of DFT.

Values from the calculation:
Its total energy is -6.21 eV per atom. The calculated formation energy is -0.184 eV/atom.

Unit cell a=2.840 b=2.840 c=27.215 alpha=90.00 beta=90.00 gamma=120.00
Atoms (fractional coordinates):
Mn (0.000, 0.000, 0.000)
Mn (0.333, 0.667, 0.667)
Mn (0.667, 0.333, 0.333)
Ag (0.000, 0.000, 0.500)
Ag (0.333, 0.667, 0.167)
Ag (0.667, 0.333, 0.833)
Pt (0.000, 0.000, 0.256)
Pt (0.000, 0.000, 0.744)
Pt (0.333, 0.667, 0.410)
Pt (0.333, 0.667, 0.923)
Pt (0.667, 0.333, 0.077)
Pt (0.667, 0.333, 0.590)


# 12
Computed, not measured: an optimized crystal structure of MnAgPt4 at the PBE level of DFT.

Values from the calculation:
Its total energy is -6.08 eV per atom. The calculated formation energy is -0.046 eV/atom.

Unit cell a=5.271 b=5.271 c=5.271 alpha=60.00 beta=60.00 gamma=60.00
Atoms (fractional coordinates):
Mn (0.000, 0.000, 0.000)
Ag (0.250, 0.250, 0.250)
Pt (0.125, 0.625, 0.625)
Pt (0.625, 0.125, 0.625)
Pt (0.625, 0.625, 0.125)
Pt (0.625, 0.625, 0.625)